1.
Computed, not measured: crystalline Er4GeCSe2 at its relaxed geometry at the GGA-PBE level of DFT.

Results
E_form (uncorrected) = -1206 meV/atom
Total DFT energy (no corrections) = -48.71 eV for the cell shown
Magnetization = 0.00 μB per formula unit

```
data_Er4GeCSe2
_space_group_name_H-M_alt 'P 1 2/m 1'
_space_group_IT_number 10
_space_group_name_Hall '-P 2y'
_cell_length_a 6.883
_cell_length_b 3.871
_cell_length_c 6.982
_cell_angle_alpha 90.00
_cell_angle_beta 108.73
_cell_angle_gamma 90.00
loop_
_atom_site_label
_atom_site_type_symbol
_atom_site_fract_x
_atom_site_fract_y
_atom_site_fract_z
Er1 Er 0.218 0.000 0.210
Er2 Er 0.234 0.500 0.777
Ge1 Ge 0.500 0.000 0.000
C1 C 0.000 0.500 0.000
Se1 Se 0.000 0.000 0.500
Se2 Se 0.500 0.500 0.500
```

2.
Computed, not measured: crystalline Er8Ge3CSe4 at its relaxed geometry at the GGA-PBE level of DFT.

Results
E_form (uncorrected) = -1274 meV/atom
Total DFT energy (no corrections) = -281.68 eV for the cell shown
Magnetization = 0.00 μB per formula unit

```
data_Er8Ge3CSe4
_space_group_name_H-M_alt 'R -3 m'
_space_group_IT_number 166
_space_group_name_Hall '-R 3 2"'
_cell_length_a 8.0244
_cell_length_b 8.0244
_cell_length_c 19.9955
_cell_angle_alpha 90.00
_cell_angle_beta 90.00
_cell_angle_gamma 120.00
loop_
_atom_site_label
_atom_site_type_symbol
_atom_site_fract_x
_atom_site_fract_y
_atom_site_fract_z
Er1 Er 0.0000 0.0000 0.2469
Er2 Er 0.0230 0.5115 0.2401
Ge1 Ge 0.0000 0.5000 0.5000
C1 C 0.0000 0.0000 0.5000
Se1 Se 0.0000 0.0000 0.0000
Se2 Se 0.0000 0.5000 0.0000
```